TbTiSbO6 | GGA-PBE | optimized geometry

Results
- E_form (uncorrected): -2.594 eV per atom
- Density of states at the Fermi level: 0.000 states/eV/f.u.
- Crystal system: trigonal
- Total DFT energy (no corrections): -139.493 eV for the cell shown
- Total moment: 0.0 μB/f.u.

Unit cell a=5.2265 b=5.2265 c=9.8533 alpha=90.00 beta=90.00 gamma=120.00
With the nearest neighbours (Å) after each atom.
Element x y z (fractional)
Tb: 0.0000 0.0000 0.0000  6 O 2.34
Tb: 0.0000 0.0000 0.5000  6 O 2.34
Ti: 0.3333 0.6667 0.2500  6 O 1.99
Ti: 0.6667 0.3333 0.7500  6 O 1.99
Sb: 0.3333 0.6667 0.7500  6 O 2.01
Sb: 0.6667 0.3333 0.2500  6 O 2.01
O: 0.0031 0.3635 0.1392  1 Ti 1.99, 1 Sb 2.01
O: 0.0031 0.6395 0.3608  1 Ti 1.99, 1 Sb 2.01
O: 0.3605 0.3635 0.3608  1 Ti 1.99, 1 Sb 2.01
O: 0.3605 0.9969 0.1392  1 Ti 1.99, 1 Sb 2.01
O: 0.3635 0.0031 0.6392  1 Ti 1.99, 1 Sb 2.01
O: 0.3635 0.3605 0.8608  1 Ti 1.99, 1 Sb 2.01
O: 0.6365 0.6395 0.1392  1 Ti 1.99, 1 Sb 2.01
O: 0.6365 0.9969 0.3608  1 Ti 1.99, 1 Sb 2.01
O: 0.6395 0.0031 0.8608  1 Ti 1.99, 1 Sb 2.01
O: 0.6395 0.6365 0.6392  1 Ti 1.99, 1 Sb 2.01
O: 0.9969 0.3605 0.6392  1 Ti 1.99, 1 Sb 2.01
O: 0.9969 0.6365 0.8608  1 Ti 1.99, 1 Sb 2.01